1.
Material: KOs2Pt
Method: DFT, PBE
State: optimized geometry

Cell and atoms, written as POSCAR:
```
KOs2Pt
1.0
6.472 0.000 0.000
0.000 6.472 0.000
0.000 0.000 6.472
K Os Pt
4 8 4
Direct
0.000 0.000 0.000
0.000 0.500 0.500
0.500 0.000 0.500
0.500 0.500 0.000
0.000 0.000 0.500
0.000 0.500 0.000
0.250 0.250 0.750
0.250 0.750 0.250
0.500 0.000 0.000
0.500 0.500 0.500
0.750 0.250 0.250
0.750 0.750 0.750
0.250 0.250 0.250
0.250 0.750 0.750
0.750 0.250 0.750
0.750 0.750 0.250
```

Properties
total magnetization = 0.00 μB per atom
space group = No. 216
offset from the most stable computed form = 871.3 meV/atom
ΔE_f = 1.39 eV/atom
V = 68 Å³/f.u.

---

2.
Material: KRbOsPt2
Method: DFT, PBE
State: optimized geometry

Cell and atoms, written as POSCAR:
```
KRbOsPt2
1.0
5.342 0.000 0.000
0.000 5.342 0.000
0.000 0.000 5.163
K Rb Os Pt
1 1 1 2
Direct
0.000 0.000 0.000
0.500 0.500 0.500
0.500 0.500 0.000
0.000 0.500 0.500
0.500 0.000 0.500
```

Properties
total magnetization = 0.38 μB per atom
space group = No. 123
ΔE_f = 2.40 eV/atom
V = 147 Å³/f.u.

---

3.
Material: KReOsPt2
Method: DFT, PBE
State: optimized geometry

Cell and atoms, written as POSCAR:
```
KReOsPt2
1.0
4.710 0.000 0.000
0.000 4.710 0.000
0.000 0.000 4.607
K Re Os Pt
1 1 1 2
Direct
0.000 0.000 0.000
0.000 0.000 0.500
0.500 0.500 0.500
0.000 0.500 0.000
0.500 0.000 0.000
```

Properties
total magnetization = 0.08 μB per atom
space group = No. 123
ΔE_f = 3.46 eV/atom
V = 102 Å³/f.u.

---

4.
Material: KSrOsPt2
Method: DFT, PBE
State: optimized geometry

Cell and atoms, written as POSCAR:
```
KSrOsPt2
1.0
5.493 0.000 0.000
0.000 5.493 0.000
0.000 0.000 5.560
K Sr Os Pt
1 1 1 2
Direct
0.000 0.000 0.000
0.500 0.500 0.500
0.500 0.500 0.000
0.000 0.500 0.500
0.500 0.000 0.500
```

Properties
total magnetization = 0.60 μB per atom
space group = No. 123
ΔE_f = 1.73 eV/atom
V = 168 Å³/f.u.

---

5.
Material: KTlOs2Pt
Method: DFT, PBE
State: optimized geometry

Cell and atoms, written as POSCAR:
```
KTlOs2Pt
1.0
4.829 0.000 0.000
0.000 4.829 0.000
0.000 0.000 5.726
K Tl Os Pt
1 1 2 1
Direct
0.000 0.000 0.000
0.500 0.500 0.000
0.000 0.500 0.500
0.500 0.000 0.500
0.000 0.000 0.500
```

Properties
total magnetization = 0.14 μB per atom
space group = No. 123
ΔE_f = 1.61 eV/atom
V = 134 Å³/f.u.

---

6.
Material: KZr2OsPt
Method: DFT, PBE
State: optimized geometry

Cell and atoms, written as POSCAR:
```
KZr2OsPt
1.0
4.971 0.000 0.000
0.000 4.971 0.000
0.000 0.000 5.704
K Zr Os Pt
1 2 1 1
Direct
0.000 0.000 0.000
0.000 0.500 0.500
0.500 0.000 0.500
0.000 0.000 0.500
0.500 0.500 0.000
```

Properties
total magnetization = 0.00 μB per atom
space group = No. 123
ΔE_f = 0.92 eV/atom
V = 141 Å³/f.u.

---

7.
Material: K2RbOs
Method: DFT, PBE
State: optimized geometry

Cell and atoms, written as POSCAR:
```
K2RbOs
1.0
8.378 0.000 0.000
0.000 8.378 0.000
0.000 0.000 8.378
K Rb Os
8 4 4
Direct
0.250 0.250 0.250
0.250 0.250 0.750
0.250 0.750 0.250
0.250 0.750 0.750
0.750 0.250 0.250
0.750 0.250 0.750
0.750 0.750 0.250
0.750 0.750 0.750
0.000 0.000 0.000
0.000 0.500 0.500
0.500 0.000 0.500
0.500 0.500 0.000
0.000 0.000 0.500
0.000 0.500 0.000
0.500 0.000 0.000
0.500 0.500 0.500
```

Properties
total magnetization = 0.34 μB per atom
space group = No. 225
offset from the most stable computed form = 0.0 meV/atom
ΔE_f = 1.36 eV/atom
V = 147 Å³/f.u.

---

8.
Material: K3RbOs
Method: DFT, PBE
State: optimized geometry

Cell and atoms, written as POSCAR:
```
K3RbOs
1.0
6.496 0.000 0.000
0.000 6.496 0.000
0.000 0.000 6.496
K Rb Os
3 1 1
Direct
0.000 0.000 0.500
0.000 0.500 0.000
0.500 0.000 0.000
0.500 0.500 0.500
0.000 0.000 0.000
```

Properties
total magnetization = 0.40 μB per atom
space group = No. 221
ΔE_f = 1.04 eV/atom
V = 274 Å³/f.u.

---

9.
Material: KRb3Os
Method: DFT, PBE
State: optimized geometry

Cell and atoms, written as POSCAR:
```
KRb3Os
1.0
7.491 0.000 0.000
0.000 7.491 0.000
0.000 0.000 7.491
K Rb Os
1 3 1
Direct
0.000 0.000 0.000
0.000 0.000 0.500
0.000 0.500 0.000
0.500 0.000 0.000
0.500 0.500 0.500
```

Properties
total magnetization = 0.53 μB per atom
space group = No. 221
offset from the most stable computed form = 576.2 meV/atom
ΔE_f = 1.64 eV/atom
V = 420 Å³/f.u.

---

10.
Material: K2RbOs
Method: DFT, PBE
State: optimized geometry

Cell and atoms, written as POSCAR:
```
K2RbOs
1.0
9.665 0.000 0.000
0.000 9.665 0.000
0.000 0.000 14.305
K Rb Os
8 4 4
Direct
0.001 0.250 0.125
0.250 0.501 0.375
0.250 0.999 0.875
0.499 0.250 0.625
0.501 0.750 0.625
0.750 0.001 0.875
0.750 0.499 0.375
0.999 0.750 0.125
0.000 0.000 0.500
0.000 0.500 0.750
0.500 0.000 0.250
0.500 0.500 0.000
0.000 0.000 0.000
0.000 0.500 0.250
0.500 0.000 0.750
0.500 0.500 0.500
```

Properties
total magnetization = 0.54 μB per atom
space group = No. 122
offset from the most stable computed form = 217.9 meV/atom
ΔE_f = 1.58 eV/atom
V = 334 Å³/f.u.

---

11.
Material: K2Rb2Os
Method: DFT, PBE
State: optimized geometry

Cell and atoms, written as POSCAR:
```
K2Rb2Os
1.0
5.135 0.000 0.000
0.000 5.135 0.000
0.000 0.000 24.040
K Rb Os
4 4 2
Direct
0.000 0.500 0.250
0.000 0.500 0.750
0.500 0.000 0.250
0.500 0.000 0.750
0.000 0.000 0.076
0.000 0.000 0.924
0.500 0.500 0.424
0.500 0.500 0.576
0.000 0.000 0.500
0.500 0.500 0.000
```

Properties
total magnetization = 0.57 μB per atom
space group = No. 139
offset from the most stable computed form = 157.1 meV/atom
ΔE_f = 1.32 eV/atom
V = 317 Å³/f.u.

---

12.
Material: K2Rb2Os
Method: DFT, PBE
State: optimized geometry

Cell and atoms, written as POSCAR:
```
K2Rb2Os
1.0
8.750 0.000 0.000
0.000 8.750 0.000
0.000 0.000 6.948
K Rb Os
4 4 2
Direct
0.194 0.306 0.000
0.306 0.806 0.000
0.694 0.194 0.000
0.806 0.694 0.000
0.157 0.657 0.500
0.343 0.157 0.500
0.657 0.843 0.500
0.843 0.343 0.500
0.000 0.000 0.500
0.500 0.500 0.500
```

Properties
total magnetization = 0.40 μB per atom
space group = No. 127
offset from the most stable computed form = 0.0 meV/atom
ΔE_f = 1.16 eV/atom
V = 266 Å³/f.u.

---

13.
Material: KRb3Os
Method: DFT, PBE
State: optimized geometry

Cell and atoms, written as POSCAR:
```
KRb3Os
1.0
6.736 0.000 0.000
0.000 6.736 0.000
0.000 0.000 6.736
K Rb Os
1 3 1
Direct
0.000 0.000 0.000
0.000 0.500 0.500
0.500 0.000 0.500
0.500 0.500 0.000
0.500 0.500 0.500
```

Properties
total magnetization = 0.40 μB per atom
space group = No. 221
offset from the most stable computed form = 0.0 meV/atom
ΔE_f = 1.07 eV/atom
V = 306 Å³/f.u.

---

14.
Material: KRb2OsS4
Method: DFT, PBE
State: optimized geometry

Cell and atoms, written as POSCAR:
```
KRb2OsS4
1.0
8.147 0.000 0.000
0.000 8.147 0.000
0.000 0.000 8.402
K Rb Os S
2 4 2 8
Direct
0.000 0.000 0.000
0.500 0.500 0.500
0.000 0.000 0.500
0.000 0.500 0.250
0.500 0.000 0.750
0.500 0.500 0.000
0.000 0.500 0.750
0.500 0.000 0.250
0.152 0.667 0.897
0.167 0.348 0.603
0.333 0.152 0.103
0.348 0.833 0.397
0.652 0.167 0.397
0.667 0.848 0.103
0.833 0.652 0.603
0.848 0.333 0.897
```

Properties
total magnetization = 0.13 μB per atom
space group = No. 82
uncorrected formation energy = -0.6712 eV per atom
V = 279 Å³/f.u.

---

15.
Material: KRbSc2Os
Method: DFT, PBE
State: optimized geometry

Cell and atoms, written as POSCAR:
```
KRbSc2Os
1.0
5.466 0.000 0.000
0.000 5.466 0.000
0.000 0.000 5.042
K Rb Sc Os
1 1 2 1
Direct
0.000 0.000 0.000
0.500 0.500 0.500
0.000 0.500 0.000
0.500 0.000 0.000
0.000 0.000 0.500
```

Properties
total magnetization = 0.16 μB per atom
space group = No. 123
ΔE_f = 2.07 eV/atom
V = 151 Å³/f.u.

---

16.
Material: KRbTa2Os
Method: DFT, PBE
State: optimized geometry

Cell and atoms, written as POSCAR:
```
KRbTa2Os
1.0
4.918 0.000 0.000
0.000 4.918 0.000
0.000 0.000 4.982
K Rb Ta Os
1 1 2 1
Direct
0.000 0.000 0.000
0.000 0.000 0.500
0.000 0.500 0.500
0.500 0.000 0.500
0.500 0.500 0.000
```

Properties
total magnetization = 0.00 μB per atom
space group = No. 123
ΔE_f = 3.48 eV/atom
V = 120 Å³/f.u.

---

17.
Material: K2RbVOs
Method: DFT, PBE
State: optimized geometry

Cell and atoms, written as POSCAR:
```
K2RbVOs
1.0
6.336 0.000 0.000
0.000 6.336 0.000
0.000 0.000 6.453
K Rb V Os
2 1 1 1
Direct
0.000 0.500 0.000
0.500 0.000 0.000
0.000 0.000 0.500
0.000 0.000 0.000
0.500 0.500 0.500
```

Properties
total magnetization = 0.41 μB per atom
space group = No. 123
ΔE_f = 2.12 eV/atom
V = 259 Å³/f.u.

---

18.
Material: KRbYOs2
Method: DFT, PBE
State: optimized geometry

Cell and atoms, written as POSCAR:
```
KRbYOs2
1.0
5.045 0.000 0.000
0.000 5.045 0.000
0.000 0.000 5.105
K Rb Y Os
1 1 1 2
Direct
0.000 0.000 0.000
0.000 0.000 0.500
0.500 0.500 0.500
0.000 0.500 0.000
0.500 0.000 0.000
```

Properties
total magnetization = 0.10 μB per atom
space group = No. 123
ΔE_f = 2.44 eV/atom
V = 130 Å³/f.u.

---

19.
Material: K2ReOs
Method: DFT, PBE
State: optimized geometry

Cell and atoms, written as POSCAR:
```
K2ReOs
1.0
2.681 0.000 0.000
0.000 5.876 0.000
-0.739 0.000 5.064
K Re Os
2 1 1
Direct
0.236 0.000 0.252
0.764 0.000 0.748
0.500 0.500 0.000
0.000 0.500 0.500
```

Properties
total magnetization = 0.00 μB per atom
space group = No. 10
offset from the most stable computed form = 598.0 meV/atom
ΔE_f = 1.36 eV/atom
V = 80 Å³/f.u.

---

20.
Material: KReOs2
Method: DFT, PBE
State: optimized geometry

Cell and atoms, written as POSCAR:
```
KReOs2
1.0
9.291 0.000 0.000
0.000 2.774 0.000
-0.779 0.000 6.693
K Re Os
2 2 4
Direct
0.000 0.000 0.000
0.500 0.500 0.000
0.282 0.500 0.364
0.782 0.000 0.364
0.005 0.500 0.501
0.222 0.000 0.655
0.505 0.000 0.501
0.722 0.500 0.655
```

Properties
total magnetization = 0.00 μB per atom
space group = No. 8
offset from the most stable computed form = 367.2 meV/atom
ΔE_f = 1.07 eV/atom
V = 86 Å³/f.u.

---

21.
Material: KRe3Os
Method: DFT, PBE
State: optimized geometry

Cell and atoms, written as POSCAR:
```
KRe3Os
1.0
4.395 0.000 0.000
0.000 4.395 0.000
0.000 0.000 4.395
K Re Os
1 3 1
Direct
0.000 0.000 0.000
0.000 0.000 0.500
0.000 0.500 0.000
0.500 0.000 0.000
0.500 0.500 0.500
```

Properties
total magnetization = 0.00 μB per atom
space group = No. 221
offset from the most stable computed form = 1811.0 meV/atom
ΔE_f = 3.94 eV/atom
V = 85 Å³/f.u.

---

22.
Material: KRe2Os
Method: DFT, PBE
State: optimized geometry

Cell and atoms, written as POSCAR:
```
KRe2Os
1.0
9.309 0.000 0.000
0.000 2.795 0.000
-0.847 0.000 6.811
K Re Os
2 4 2
Direct
0.000 0.000 0.000
0.500 0.500 0.000
0.002 0.500 0.506
0.282 0.500 0.360
0.502 0.000 0.506
0.782 0.000 0.360
0.221 0.000 0.646
0.721 0.500 0.646
```

Properties
total magnetization = 0.00 μB per atom
space group = No. 8
offset from the most stable computed form = 224.9 meV/atom
ΔE_f = 1.02 eV/atom
V = 89 Å³/f.u.

---

23.
Material: KRe2Os
Method: DFT, PBE
State: optimized geometry

Cell and atoms, written as POSCAR:
```
KRe2Os
1.0
6.402 0.000 0.000
0.000 6.402 0.000
0.000 0.000 6.402
K Re Os
4 8 4
Direct
0.000 0.000 0.000
0.000 0.500 0.500
0.500 0.000 0.500
0.500 0.500 0.000
0.000 0.000 0.500
0.000 0.500 0.000
0.250 0.250 0.750
0.250 0.750 0.250
0.500 0.000 0.000
0.500 0.500 0.500
0.750 0.250 0.250
0.750 0.750 0.750
0.250 0.250 0.250
0.250 0.750 0.750
0.750 0.250 0.750
0.750 0.750 0.250
```

Properties
total magnetization = 0.00 μB per atom
space group = No. 216
offset from the most stable computed form = 746.7 meV/atom
ΔE_f = 1.54 eV/atom
V = 66 Å³/f.u.

---

24.
Material: K2ReOs
Method: DFT, PBE
State: optimized geometry

Cell and atoms, written as POSCAR:
```
K2ReOs
1.0
4.592 0.000 0.000
0.000 4.592 0.000
0.000 0.000 5.081
K Re Os
2 1 1
Direct
0.000 0.000 0.249
0.000 0.000 0.751
0.500 0.500 0.500
0.500 0.500 0.000
```

Properties
total magnetization = 0.80 μB per atom
space group = No. 123
offset from the most stable computed form = 1280.7 meV/atom
ΔE_f = 2.05 eV/atom
V = 107 Å³/f.u.

---

25.
Material: KReOs4
Method: DFT, PBE
State: optimized geometry

Cell and atoms, written as POSCAR:
```
KReOs4
1.0
0.000 3.695 3.695
3.695 0.000 3.695
3.695 3.695 0.000
K Re Os
1 1 4
Direct
0.000 0.000 0.000
0.250 0.250 0.250
0.125 0.625 0.625
0.625 0.125 0.625
0.625 0.625 0.125
0.625 0.625 0.625
```

Properties
total magnetization = 0.00 μB per atom
space group = No. 216
ΔE_f = 1.20 eV/atom
V = 101 Å³/f.u.

---

26.
Material: KReOs2
Method: DFT, PBE
State: optimized geometry

Cell and atoms, written as POSCAR:
```
KReOs2
1.0
2.866 0.000 0.000
0.000 4.659 0.000
0.000 0.000 10.321
K Re Os
2 2 4
Direct
0.000 0.000 0.000
0.500 0.500 0.000
0.000 0.000 0.500
0.500 0.500 0.500
0.000 0.500 0.284
0.000 0.500 0.716
0.500 0.000 0.284
0.500 0.000 0.716
```

Properties
total magnetization = 0.00 μB per atom
space group = No. 65
offset from the most stable computed form = 205.8 meV/atom
ΔE_f = 0.91 eV/atom
V = 69 Å³/f.u.

---

27.
Material: K2ReOs
Method: DFT, PBE
State: optimized geometry

Cell and atoms, written as POSCAR:
```
K2ReOs
1.0
2.793 0.000 0.000
-1.396 2.419 0.000
0.000 0.000 35.403
K Re Os
6 3 3
Direct
0.000 0.000 0.249
0.000 0.000 0.751
0.333 0.667 0.418
0.333 0.667 0.916
0.667 0.333 0.084
0.667 0.333 0.582
0.000 0.000 0.000
0.333 0.667 0.667
0.667 0.333 0.333
0.000 0.000 0.500
0.333 0.667 0.167
0.667 0.333 0.833
```

Properties
total magnetization = 0.00 μB per atom
space group = No. 166
offset from the most stable computed form = 602.7 meV/atom
ΔE_f = 1.37 eV/atom
V = 80 Å³/f.u.

---

28.
Material: KReOs2
Method: DFT, PBE
State: optimized geometry

Cell and atoms, written as POSCAR:
```
KReOs2
1.0
2.737 0.000 0.000
0.000 4.945 0.000
0.000 0.000 4.954
K Re Os
1 1 2
Direct
0.000 0.000 0.000
0.500 0.000 0.500
0.000 0.500 0.500
0.500 0.500 0.000
```

Properties
total magnetization = 0.01 μB per atom
space group = No. 47
offset from the most stable computed form = 1051.9 meV/atom
ΔE_f = 1.75 eV/atom
V = 67 Å³/f.u.

---

29.
Material: KRe2Os
Method: DFT, PBE
State: optimized geometry

Cell and atoms, written as POSCAR:
```
KRe2Os
1.0
2.664 0.000 0.000
0.000 5.166 0.000
0.000 0.000 10.767
K Re Os
2 4 2
Direct
0.000 0.000 0.000
0.500 0.500 0.500
0.000 0.500 0.209
0.000 0.500 0.791
0.500 0.000 0.291
0.500 0.000 0.709
0.000 0.000 0.500
0.500 0.500 0.000
```

Properties
total magnetization = 0.00 μB per atom
space group = No. 71
offset from the most stable computed form = 386.6 meV/atom
ΔE_f = 1.18 eV/atom
V = 74 Å³/f.u.

---

DOS(E_F)? In order: 19.66 5.40 6.23 6.44 5.23 4.03 19.23 2.00 14.60 30.60 16.53 3.79 1.58 10.02 7.88 7.27 18.75 4.85 2.67 11.14 5.82 6.53 9.43 4.99 6.55 5.90 8.69 5.58 5.53 states/eV per cell.